# 1
# FeCuIrPt

A relaxed structure of FeCuIrPt (PBE, Alexandria).

Lattice parameters (Å, degrees): 6.0360 6.0360 6.0360 90.00 90.00 90.00
Space group F-43m (No. 216)
Inequivalent atoms, fractional coordinates:
Fe1 0.0000 0.0000 0.0000 x4
Cu1 0.0000 0.0000 0.5000 x4
Ir1 0.2500 0.2500 0.2500 x4
Pt1 0.2500 0.2500 0.7500 x4

Formation enthalpy at 0 K (meV per atom): -29.6
Density of states at the Fermi level (states/eV per cell): 10.77
Total moment (μB/f.u.): 4.35

---

# 2
# FeCuIrRh

A relaxed structure of FeCuIrRh (PBE, Alexandria).

Lattice parameters (Å, degrees): 5.9706 5.9706 5.9706 90.00 90.00 90.00
Space group F-43m (No. 216)
Inequivalent atoms, fractional coordinates:
Fe1 0.0000 0.0000 0.0000 x4
Cu1 0.0000 0.0000 0.5000 x4
Ir1 0.2500 0.2500 0.2500 x4
Rh1 0.2500 0.2500 0.7500 x4

Formation enthalpy at 0 K (meV per atom): 49.8
Density of states at the Fermi level (states/eV per cell): 20.16
Total moment (μB/f.u.): 3.39

---

# 3
# FeCuIrRu

A relaxed structure of FeCuIrRu (PBE, Alexandria).

Lattice parameters (Å, degrees): 5.9422 5.9422 5.9422 90.00 90.00 90.00
Space group F-43m (No. 216)
Inequivalent atoms, fractional coordinates:
Fe1 0.0000 0.0000 0.0000 x4
Cu1 0.0000 0.0000 0.5000 x4
Ir1 0.2500 0.2500 0.7500 x4
Ru1 0.2500 0.2500 0.2500 x4

Formation enthalpy at 0 K (meV per atom): 153.1
Density of states at the Fermi level (states/eV per cell): 13.71
Total moment (μB/f.u.): 2.41

---

# 4
# TaFeCu2Ir

A relaxed structure of TaFeCu2Ir (PBE, Alexandria).

Lattice parameters (Å, degrees): 4.3030 4.3030 4.3616 90.00 90.00 90.00
Space group P4/mmm (No. 123)
Inequivalent atoms, fractional coordinates:
Ta1 0.0000 0.0000 0.0000 x1
Fe1 0.0000 0.0000 0.5000 x1
Cu1 0.0000 0.5000 0.5000 x2
Ir1 0.5000 0.5000 0.0000 x1

Formation enthalpy at 0 K (meV per atom): 1116.5
Density of states at the Fermi level (states/eV per cell): 4.61
Total moment (μB/f.u.): 0.98

---

# 5
# FeCuIrW

A relaxed structure of FeCuIrW (PBE, Alexandria).

Lattice parameters (Å, degrees): 5.9908 5.9908 5.9908 90.00 90.00 90.00
Space group F-43m (No. 216)
Inequivalent atoms, fractional coordinates:
Fe1 0.0000 0.0000 0.0000 x4
Cu1 0.2500 0.2500 0.2500 x4
Ir1 0.0000 0.0000 0.5000 x4
W1 0.2500 0.2500 0.7500 x4

Formation enthalpy at 0 K (meV per atom): 65.1
Density of states at the Fermi level (states/eV per cell): 6.02
Total moment (μB/f.u.): 0.11

---

# 6
# ZnFeCuIr

A relaxed structure of ZnFeCuIr (PBE, Alexandria).

Lattice parameters (Å, degrees): 5.9676 5.9676 5.9676 90.00 90.00 90.00
Space group F-43m (No. 216)
Inequivalent atoms, fractional coordinates:
Zn1 0.0000 0.0000 0.0000 x4
Fe1 0.0000 0.0000 0.5000 x4
Cu1 0.2500 0.2500 0.2500 x4
Ir1 0.2500 0.2500 0.7500 x4

Formation enthalpy at 0 K (meV per atom): -26.4
Density of states at the Fermi level (states/eV per cell): 13.51
Total moment (μB/f.u.): 3.25

---

# 7
# K2FeCu

A relaxed structure of K2FeCu (PBE, Alexandria).

Lattice parameters (Å, degrees): 3.9614 3.9614 29.8414 90.00 90.00 120.00
Space group R-3m (No. 166, hexagonal axes)
Inequivalent atoms, fractional coordinates:
K1 0.0000 0.0000 0.2434 x6
Fe1 0.0000 0.0000 0.0000 x3
Cu1 0.0000 0.0000 0.5000 x3

Formation enthalpy at 0 K (meV per atom): 1093.1
Polymorph energy (0 for the lowest one) (kJ per mole of atoms): 47.1
Density of states at the Fermi level (states/eV per cell): 10.36
Total moment (μB/f.u.): 3.25

---

# 8
# K2FeCu

A relaxed structure of K2FeCu (PBE, Alexandria).

Lattice parameters (Å, degrees): 7.2573 4.1883 9.4320 90.00 103.11 90.00
Space group Cm (No. 8)
Inequivalent atoms, fractional coordinates:
K1 0.0000 0.0000 0.0000 x2
K2 0.1575 0.0000 0.5335 x2
Fe1 0.4125 0.0000 0.2667 x2
Cu1 0.2457 0.5000 0.2667 x2

Formation enthalpy at 0 K (meV per atom): 605.3
Polymorph energy (0 for the lowest one) (kJ per mole of atoms): 0.0
Density of states at the Fermi level (states/eV per cell): 9.64
Total moment (μB/f.u.): 2.86

---

# 9
# KFeCu4

A relaxed structure of KFeCu4 (PBE, Alexandria).

Lattice parameters (Å, degrees): 7.2271 7.2271 7.2271 90.00 90.00 90.00
Space group F-43m (No. 216)
Inequivalent atoms, fractional coordinates:
K1 0.0000 0.0000 0.0000 x4
Fe1 0.2500 0.2500 0.2500 x4
Cu1 0.1238 0.1238 0.6238 x16

Formation enthalpy at 0 K (meV per atom): 552.0
Density of states at the Fermi level (states/eV per cell): 15.62
Total moment (μB/f.u.): 3.12

---

# 10
# KFeCu3

A relaxed structure of KFeCu3 (PBE, Alexandria).

Lattice parameters (Å, degrees): 4.8425 4.8425 4.8425 90.00 90.00 90.00
Space group Pm-3m (No. 221)
Inequivalent atoms, fractional coordinates:
K1 0.0000 0.0000 0.0000 x1
Fe1 0.5000 0.5000 0.5000 x1
Cu1 0.0000 0.0000 0.5000 x3

Formation enthalpy at 0 K (meV per atom): 2055.7
Polymorph energy (0 for the lowest one) (kJ per mole of atoms): 126.5
Density of states at the Fermi level (states/eV per cell): 9.62
Total moment (μB/f.u.): 3.01

---

# 11
# K2FeCu

A relaxed structure of K2FeCu (PBE, Alexandria).

Lattice parameters (Å, degrees): 4.1649 5.7101 10.5907 90.00 90.00 90.00
Space group Imm2 (No. 44)
Inequivalent atoms, fractional coordinates:
K1 0.0000 0.0000 0.0000 x2
K2 0.0000 0.5000 0.1968 x2
Fe1 0.0000 0.0000 0.3894 x2
Cu1 0.0000 0.5000 0.7842 x2

Formation enthalpy at 0 K (meV per atom): 763.0
Polymorph energy (0 for the lowest one) (kJ per mole of atoms): 15.2
Density of states at the Fermi level (states/eV per cell): 12.89
Total moment (μB/f.u.): 3.01

---

# 12
# K2FeCu

A relaxed structure of K2FeCu (PBE, Alexandria).

Lattice parameters (Å, degrees): 5.1980 4.2558 6.5790 90.00 113.16 90.00
Space group Pm (No. 6)
Inequivalent atoms, fractional coordinates:
K1 0.0000 0.0000 0.0000 x1
K2 0.2909 0.5000 0.5815 x1
Fe1 0.6068 0.5000 0.2144 x1
Cu1 0.6956 0.0000 0.3907 x1

Formation enthalpy at 0 K (meV per atom): 753.0
Polymorph energy (0 for the lowest one) (kJ per mole of atoms): 14.3
Density of states at the Fermi level (states/eV per cell): 5.48
Total moment (μB/f.u.): 3.04

---

# 13
# K2FeCu

A relaxed structure of K2FeCu (PBE, Alexandria).

Lattice parameters (Å, degrees): 3.4666 3.4666 10.0560 90.00 90.00 90.00
Space group P4mm (No. 99)
Inequivalent atoms, fractional coordinates:
K1 0.0000 0.0000 0.0000 x1
K2 0.5000 0.5000 0.4216 x1
Fe1 0.5000 0.5000 0.7329 x1
Cu1 0.0000 0.0000 0.6830 x1

Formation enthalpy at 0 K (meV per atom): 624.1
Polymorph energy (0 for the lowest one) (kJ per mole of atoms): 1.8
Density of states at the Fermi level (states/eV per cell): 4.55
Total moment (μB/f.u.): 2.79

---

# 14
# K2FeCu

A relaxed structure of K2FeCu (PBE, Alexandria).

Lattice parameters (Å, degrees): 3.7008 3.7114 8.9819 90.00 90.00 90.00
Space group Pmmm (No. 47)
Inequivalent atoms, fractional coordinates:
K1 0.0000 0.0000 0.2307 x2
Fe1 0.5000 0.5000 0.5000 x1
Cu1 0.5000 0.5000 0.0000 x1

Formation enthalpy at 0 K (meV per atom): 980.6
Polymorph energy (0 for the lowest one) (kJ per mole of atoms): 36.2
Density of states at the Fermi level (states/eV per cell): 2.60
Total moment (μB/f.u.): 3.17

---

# 15
# KFeCu3

A relaxed structure of KFeCu3 (PBE, Alexandria).

Lattice parameters (Å, degrees): 4.7033 4.7033 4.7033 90.00 90.00 90.00
Space group Pm-3m (No. 221)
Inequivalent atoms, fractional coordinates:
K1 0.0000 0.0000 0.0000 x1
Fe1 0.5000 0.5000 0.5000 x1
Cu1 0.0000 0.5000 0.5000 x3

Formation enthalpy at 0 K (meV per atom): 744.6
Polymorph energy (0 for the lowest one) (kJ per mole of atoms): 0.0
Density of states at the Fermi level (states/eV per cell): 2.73
Total moment (μB/f.u.): 3.00

---

# 16
# K2FeCu

A relaxed structure of K2FeCu (PBE, Alexandria).

Lattice parameters (Å, degrees): 8.0321 8.0321 8.0321 90.00 90.00 90.00
Space group Fm-3m (No. 225)
Inequivalent atoms, fractional coordinates:
K1 0.2500 0.2500 0.2500 x8
Fe1 0.0000 0.0000 0.0000 x4
Cu1 0.0000 0.0000 0.5000 x4

Formation enthalpy at 0 K (meV per atom): 1076.2
Polymorph energy (0 for the lowest one) (kJ per mole of atoms): 45.4
Density of states at the Fermi level (states/eV per cell): 139.01
Total moment (μB/f.u.): 3.12

---

# 17
# K2FeCu

A relaxed structure of K2FeCu (PBE, Alexandria).

Lattice parameters (Å, degrees): 5.3493 5.3493 7.5453 90.00 90.00 90.00
Space group I-4m2 (No. 119)
Inequivalent atoms, fractional coordinates:
K1 0.0000 0.0000 0.0000 x2
K2 0.0000 0.5000 0.2500 x2
Fe1 0.0000 0.0000 0.5000 x2
Cu1 0.0000 0.5000 0.7500 x2

Formation enthalpy at 0 K (meV per atom): 958.5
Polymorph energy (0 for the lowest one) (kJ per mole of atoms): 34.1
Density of states at the Fermi level (states/eV per cell): 2.77
Total moment (μB/f.u.): 3.06

---

# 18
# K2FeCu

A relaxed structure of K2FeCu (PBE, Alexandria).

Lattice parameters (Å, degrees): 5.3505 5.3505 8.8432 90.00 90.00 90.00
Space group I4/mmm (No. 139)
Inequivalent atoms, fractional coordinates:
K1 0.0000 0.5000 0.2500 x4
Fe1 0.0000 0.0000 0.0000 x2
Cu1 0.0000 0.0000 0.5000 x2

Formation enthalpy at 0 K (meV per atom): 1020.8
Polymorph energy (0 for the lowest one) (kJ per mole of atoms): 40.1
Density of states at the Fermi level (states/eV per cell): 4.07
Total moment (μB/f.u.): 3.23

---

# 19
# K2FeCu

A relaxed structure of K2FeCu (PBE, Alexandria).

Lattice parameters (Å, degrees): 6.6522 9.2388 3.9054 90.00 90.19 90.00
Space group C2/m (No. 12)
Inequivalent atoms, fractional coordinates:
K1 0.2500 0.2500 0.0000 x4
Fe1 0.0000 0.0000 0.5000 x2
Cu1 0.0000 0.5000 0.5000 x2

Formation enthalpy at 0 K (meV per atom): 1008.3
Polymorph energy (0 for the lowest one) (kJ per mole of atoms): 38.9
Density of states at the Fermi level (states/eV per cell): 5.21
Total moment (μB/f.u.): 3.20

---

# 20
# KFeCuS2

A relaxed structure of KFeCuS2 (PBE, Alexandria).

Lattice parameters (Å, degrees): 3.8627 3.8627 13.3168 90.00 90.00 90.00
Space group I-4m2 (No. 119)
Inequivalent atoms, fractional coordinates:
K1 0.0000 0.0000 0.0000 x2
Fe1 0.0000 0.5000 0.2500 x2
Cu1 0.0000 0.5000 0.7500 x2
S1 0.0000 0.0000 0.3526 x4

Uncorrected formation energy (eV per atom): -0.602
Density of states at the Fermi level (states/eV per cell): 6.56
Total moment (μB/f.u.): 4.01